No. 1
PrSmHo5Tm2 | PBE | relaxed

Its electronic total energy is -4.43 eV per atom. As for the total magnetic moment: 0.00 Bohr magnetons per cell.

The space group is Cmc2_1 (No. 36) and the conventional cell measures 5.593, 19.818 and 10.527 Å, with angles of 90.00, 90.00 and 90.00 degrees. The distinct sites, in fractional coordinates, are Pr at (0.000, 0.083, 0.000), Sm at (0.000, 0.300, 0.565), Ho at (0.000, 0.023, 0.288), Ho at (0.000, 0.110, 0.576), Ho at (0.000, 0.201, 0.262), Ho at (0.000, 0.219, 0.863), Ho at (0.000, 0.483, 0.578), Tm at (0.000, 0.387, 0.872) and Tm at (0.000, 0.389, 0.287).

=====

No. 2
Pr4SmHoTm2 | PBE | relaxed

Its electronic total energy is -4.65 eV per atom. As for the total magnetic moment: 0.00 Bohr magnetons per cell.

The space group is Pmmm (No. 47) and the conventional cell measures 5.154, 5.176 and 10.067 Å, with angles of 90.00, 90.00 and 90.00 degrees. The distinct sites, in fractional coordinates, are Pr at (0.000, 0.000, 0.248), Pr at (0.500, 0.500, 0.249), Sm at (0.500, 0.000, 0.500), Ho at (0.000, 0.500, 0.000), Tm at (0.000, 0.500, 0.500) and Tm at (0.500, 0.000, 0.000).

=====

No. 3
Pr6Sm2HoTm | PBE | relaxed

Its electronic total energy is -4.60 eV per atom. As for the total magnetic moment: 0.00 Bohr magnetons per cell.

The space group is C2/c (No. 15) and the conventional cell measures 9.304, 15.484 and 9.782 Å, with angles of 90.00, 98.01 and 90.00 degrees. The distinct sites, in fractional coordinates, are Pr at (0.060, 0.180, 0.446), Pr at (0.101, 0.393, 0.618), Pr at (0.211, 0.220, 0.809), Sm at (0.248, 0.049, 0.044), Ho at (0.000, 0.024, 0.750) and Tm at (0.000, 0.411, 0.250).

=====

No. 4
Pr2SmHo3Tm6 | PBE | relaxed

Its electronic total energy is -4.55 eV per atom. As for the total magnetic moment: 0.00 Bohr magnetons per cell.

The space group is C2/m (No. 12) and the conventional cell measures 6.155, 10.650 and 11.690 Å, with angles of 90.00, 100.07 and 90.00 degrees. The distinct sites, in fractional coordinates, are Pr at (0.000, 0.167, 0.000), Sm at (0.000, 0.500, 0.000), Ho at (0.000, 0.000, 0.500), Ho at (0.000, 0.333, 0.500), Tm at (0.248, 0.166, 0.746) and Tm at (0.248, 0.500, 0.746).

=====

No. 5
PrSm2Ho2Tm | PBE | relaxed

Its electronic total energy is -4.58 eV per atom. As for the total magnetic moment: 0.00 Bohr magnetons per cell.

The space group is Pnnm (No. 58) and the conventional cell measures 7.006, 9.838 and 5.636 Å, with angles of 90.00, 90.00 and 90.00 degrees. The distinct sites, in fractional coordinates, are Pr at (0.000, 0.000, 0.000), Sm at (0.247, 0.333, 0.000), Ho at (0.249, 0.667, 0.000) and Tm at (0.000, 0.500, 0.500).

=====

No. 6
PrSm2Ho6Tm3 | PBE | relaxed

Its electronic total energy is -4.57 eV per atom. As for the total magnetic moment: 0.00 Bohr magnetons per cell.

The space group is C2/m (No. 12) and the conventional cell measures 6.151, 10.642 and 11.743 Å, with angles of 90.00, 100.02 and 90.00 degrees. The distinct sites, in fractional coordinates, are Pr at (0.000, 0.000, 0.000), Sm at (0.000, 0.333, 0.000), Ho at (0.247, 0.333, 0.745), Ho at (0.248, 0.000, 0.745), Tm at (0.000, 0.167, 0.500) and Tm at (0.000, 0.500, 0.500).

=====

No. 7
Pr6Sm3Ho2Tm | PBE | relaxed

Its electronic total energy is -4.69 eV per atom. As for the total magnetic moment: 0.00 Bohr magnetons per cell.

The space group is C2/m (No. 12) and the conventional cell measures 6.330, 10.967 and 11.959 Å, with angles of 90.00, 100.14 and 90.00 degrees. The distinct sites, in fractional coordinates, are Pr at (0.249, 0.166, 0.247), Pr at (0.250, 0.000, 0.753), Sm at (0.000, 0.167, 0.500), Sm at (0.000, 0.500, 0.500), Ho at (0.000, 0.333, 0.000) and Tm at (0.000, 0.000, 0.000).

=====

No. 8
Pr6SmHoTm2 | PBE | relaxed

Its electronic total energy is -4.58 eV per atom. As for the total magnetic moment: 0.00 Bohr magnetons per cell.

The space group is C2/c (No. 15) and the conventional cell measures 9.368, 15.331 and 9.689 Å, with angles of 90.00, 97.28 and 90.00 degrees. The distinct sites, in fractional coordinates, are Pr at (0.062, 0.175, 0.445), Pr at (0.096, 0.391, 0.617), Pr at (0.217, 0.222, 0.813), Sm at (0.000, 0.030, 0.750), Ho at (0.000, 0.412, 0.250) and Tm at (0.249, 0.048, 0.049).

=====

No. 9
PrSm4Ho2Tm | PBE | relaxed

Its electronic total energy is -4.27 eV per atom. As for the total magnetic moment: 0.83 Bohr magnetons per cell.

The space group is C2/c (No. 15) and the conventional cell measures 13.686, 13.309 and 6.839 Å, with angles of 90.00, 119.98 and 90.00 degrees. The distinct sites, in fractional coordinates, are Pr at (0.250, 0.250, 0.000), Sm at (0.001, 0.249, 0.000), Sm at (0.249, 0.002, 0.497), Ho at (0.000, 0.500, 0.000), Ho at (0.250, 0.250, 0.500) and Tm at (0.000, 0.000, 0.000).

=====

No. 10
Pr5Sm2HoTm | PBE | relaxed

Its electronic total energy is -4.42 eV per atom. As for the total magnetic moment: 0.00 Bohr magnetons per cell.

The space group is I4/mcm (No. 140) and the conventional cell measures 8.570, 8.570 and 17.202 Å, with angles of 90.00, 90.00 and 90.00 degrees. The distinct sites, in fractional coordinates, are Pr at (0.000, 0.000, 0.000), Pr at (0.219, 0.281, 0.143), Sm at (0.123, 0.377, 0.500), Ho at (0.000, 0.000, 0.250) and Tm at (0.000, 0.500, 0.250).

=====

No. 11
Pr2SmHo2Tm | PBE | relaxed

Its electronic total energy is -4.59 eV per atom. As for the total magnetic moment: 0.00 Bohr magnetons per cell.

The space group is Pmma (No. 51) and the conventional cell measures 7.054, 5.683 and 9.840 Å, with angles of 90.00, 90.00 and 90.00 degrees. The distinct sites, in fractional coordinates, are Pr at (0.000, 0.000, 0.000), Pr at (0.250, 0.500, 0.180), Sm at (0.250, 0.000, 0.656), Ho at (0.250, 0.000, 0.331), Ho at (0.250, 0.500, 0.836) and Tm at (0.000, 0.500, 0.500).

=====

No. 12
Pr2SmHoTm2 | PBE | relaxed

Its electronic total energy is -4.61 eV per atom. As for the total magnetic moment: 0.00 Bohr magnetons per cell.

The space group is Pmc2_1 (No. 26) and the conventional cell measures 5.737, 10.973 and 6.331 Å, with angles of 90.00, 90.00 and 90.00 degrees. The distinct sites, in fractional coordinates, are Pr at (0.000, 0.082, 0.000), Pr at (0.500, 0.253, 0.167), Sm at (0.000, 0.253, 0.505), Ho at (0.500, 0.419, 0.666), Tm at (0.000, 0.421, 0.997) and Tm at (0.500, 0.085, 0.671).